Entry i
A geometry-optimized KAsIrO structure, computed with PBE.

Computed properties:
calculated volume: 21.6 A^3/atom

Structure (CIF):
```
data_KAsIrO
_symmetry_space_group_name_H-M 'P 4/n m m'
_symmetry_Int_Tables_number 129
_cell_length_a 3.9834
_cell_length_b 3.9834
_cell_length_c 10.8663
_cell_angle_alpha 90.00
_cell_angle_beta 90.00
_cell_angle_gamma 90.00
loop_
_symmetry_equiv_pos_as_xyz
'x,y,z'
'-x,-y,-z'
'-y+1/2,x,z'
'y+1/2,-x,-z'
'-x+1/2,-y+1/2,z'
'x+1/2,y+1/2,-z'
'y,-x+1/2,z'
'-y,x+1/2,-z'
'x+1/2,-y,-z'
'-x+1/2,y,z'
'-y,-x,-z'
'y,x,z'
'-x,y+1/2,-z'
'x,-y+1/2,z'
'y+1/2,x+1/2,-z'
'-y+1/2,-x+1/2,z'
loop_
_atom_site_label
_atom_site_type_symbol
_atom_site_fract_x
_atom_site_fract_y
_atom_site_fract_z
K1 K 0.2500 0.2500 0.1481
As1 As 0.2500 0.2500 0.6324
Ir1 Ir 0.2500 0.7500 0.5000
O1 O 0.2500 0.7500 0.0000
```

---

Entry ii
A geometry-optimized KAsIrO structure, computed with PBE.

Computed properties:
calculated volume: 16.2 A^3/atom

Structure (CIF):
```
data_KAsIrO
_symmetry_space_group_name_H-M 'P 4/n m m'
_symmetry_Int_Tables_number 129
_cell_length_a 3.7252
_cell_length_b 3.7252
_cell_length_c 9.3453
_cell_angle_alpha 90.00
_cell_angle_beta 90.00
_cell_angle_gamma 90.00
loop_
_symmetry_equiv_pos_as_xyz
'x,y,z'
'-x,-y,-z'
'-y+1/2,x,z'
'y+1/2,-x,-z'
'-x+1/2,-y+1/2,z'
'x+1/2,y+1/2,-z'
'y,-x+1/2,z'
'-y,x+1/2,-z'
'x+1/2,-y,-z'
'-x+1/2,y,z'
'-y,-x,-z'
'y,x,z'
'-x,y+1/2,-z'
'x,-y+1/2,z'
'y+1/2,x+1/2,-z'
'-y+1/2,-x+1/2,z'
loop_
_atom_site_label
_atom_site_type_symbol
_atom_site_fract_x
_atom_site_fract_y
_atom_site_fract_z
K1 K 0.2500 0.7500 0.0000
As1 As 0.2500 0.2500 0.2657
Ir1 Ir 0.2500 0.2500 0.6325
O1 O 0.2500 0.7500 0.5000
```

---

Stability check: which of them is most stable? entry i.

---

Entry i
A geometry-optimized KAsIrO structure, computed with PBE.

Computed properties:
calculated volume: 20.7 A^3/atom

Structure (CIF):
```
data_KAsIrO
_symmetry_space_group_name_H-M 'P m c 21'
_symmetry_Int_Tables_number 26
_symmetry_space_group_name_Hall 'P 2c -2'
_cell_length_a 3.8075
_cell_length_b 7.7817
_cell_length_c 5.5972
_cell_angle_alpha 90.00
_cell_angle_beta 90.00
_cell_angle_gamma 90.00
loop_
_atom_site_label
_atom_site_type_symbol
_atom_site_fract_x
_atom_site_fract_y
_atom_site_fract_z
K1 K 0.0000 0.1203 0.0000
As1 As 0.0000 0.3517 0.4901
Ir1 Ir 0.5000 0.4934 0.7125
O1 O 0.5000 0.3132 0.9716
```

---

Entry ii
A geometry-optimized KAsIrO structure, computed with PBE.

Computed properties:
calculated volume: 21.1 A^3/atom

Structure (CIF):
```
data_KAsIrO
_symmetry_space_group_name_H-M 'P m c 21'
_symmetry_Int_Tables_number 26
_symmetry_space_group_name_Hall 'P 2c -2'
_cell_length_a 3.7884
_cell_length_b 5.7779
_cell_length_c 7.7204
_cell_angle_alpha 90.00
_cell_angle_beta 90.00
_cell_angle_gamma 90.00
loop_
_atom_site_label
_atom_site_type_symbol
_atom_site_fract_x
_atom_site_fract_y
_atom_site_fract_z
K1 K 0.0000 0.1615 0.0000
As1 As 0.5000 0.3431 0.6691
Ir1 Ir 0.5000 0.3350 0.3580
O1 O 0.0000 0.2555 0.3357
```

---

Stability check: which of them is most stable? entry i.

---

Entry i
A geometry-optimized LiAsIrO structure, computed with PBE.

Computed properties:
calculated volume: 15.3 A^3/atom

Structure (CIF):
```
data_LiAsIrO
_symmetry_space_group_name_H-M 'P m c 21'
_symmetry_Int_Tables_number 26
_symmetry_space_group_name_Hall 'P 2c -2'
_cell_length_a 3.8602
_cell_length_b 5.5748
_cell_length_c 5.7004
_cell_angle_alpha 90.00
_cell_angle_beta 90.00
_cell_angle_gamma 90.00
loop_
_atom_site_label
_atom_site_type_symbol
_atom_site_fract_x
_atom_site_fract_y
_atom_site_fract_z
Li1 Li 0.0000 0.0969 0.0000
As1 As 0.5000 0.3294 0.7732
Ir1 Ir 0.5000 0.2556 0.3642
O1 O 0.0000 0.1857 0.3144
```

---

Entry ii
A geometry-optimized LiAsIrO structure, computed with PBE.

Computed properties:
calculated volume: 13.6 A^3/atom

Structure (CIF):
```
data_LiAsIrO
_symmetry_space_group_name_H-M 'P 4/n m m'
_symmetry_Int_Tables_number 129
_cell_length_a 3.8788
_cell_length_b 3.8788
_cell_length_c 7.2255
_cell_angle_alpha 90.00
_cell_angle_beta 90.00
_cell_angle_gamma 90.00
loop_
_symmetry_equiv_pos_as_xyz
'x,y,z'
'-x,-y,-z'
'-y+1/2,x,z'
'y+1/2,-x,-z'
'-x+1/2,-y+1/2,z'
'x+1/2,y+1/2,-z'
'y,-x+1/2,z'
'-y,x+1/2,-z'
'x+1/2,-y,-z'
'-x+1/2,y,z'
'-y,-x,-z'
'y,x,z'
'-x,y+1/2,-z'
'x,-y+1/2,z'
'y+1/2,x+1/2,-z'
'-y+1/2,-x+1/2,z'
loop_
_atom_site_label
_atom_site_type_symbol
_atom_site_fract_x
_atom_site_fract_y
_atom_site_fract_z
Li1 Li 0.2500 0.2500 0.0701
As1 As 0.2500 0.2500 0.7138
Ir1 Ir 0.2500 0.7500 0.5000
O1 O 0.2500 0.7500 0.0000
```

---

Stability check: which of them is most stable? entry i.

---

Entry i
A geometry-optimized LiTlAsIr structure, computed with PBE.

Computed properties:
calculated volume: 17.5 A^3/atom

Structure (CIF):
```
data_LiTlAsIr
_symmetry_space_group_name_H-M 'F -4 3 m'
_symmetry_Int_Tables_number 216
_symmetry_space_group_name_Hall 'F -4 2 3'
_cell_length_a 6.5466
_cell_length_b 6.5466
_cell_length_c 6.5466
_cell_angle_alpha 90.00
_cell_angle_beta 90.00
_cell_angle_gamma 90.00
loop_
_atom_site_label
_atom_site_type_symbol
_atom_site_fract_x
_atom_site_fract_y
_atom_site_fract_z
Li1 Li 0.0000 0.0000 0.0000
Tl1 Tl 0.2500 0.2500 0.2500
As1 As 0.0000 0.0000 0.5000
Ir1 Ir 0.2500 0.2500 0.7500
```

---

Entry ii
A geometry-optimized LiTlAsIr structure, computed with PBE.

Computed properties:
calculated volume: 17.2 A^3/atom

Structure (CIF):
```
data_LiTlAsIr
_symmetry_space_group_name_H-M 'F -4 3 m'
_symmetry_Int_Tables_number 216
_symmetry_space_group_name_Hall 'F -4 2 3'
_cell_length_a 6.5013
_cell_length_b 6.5013
_cell_length_c 6.5013
_cell_angle_alpha 90.00
_cell_angle_beta 90.00
_cell_angle_gamma 90.00
loop_
_atom_site_label
_atom_site_type_symbol
_atom_site_fract_x
_atom_site_fract_y
_atom_site_fract_z
Li1 Li 0.0000 0.0000 0.0000
Tl1 Tl 0.2500 0.2500 0.2500
As1 As 0.2500 0.2500 0.7500
Ir1 Ir 0.0000 0.0000 0.5000
```

---

Stability check: which of them is most stable? entry ii.

---

Entry i
A geometry-optimized LuAsIrO structure, computed with PBE.

Computed properties:
calculated volume: 17.3 A^3/atom

Structure (CIF):
```
data_LuAsIrO
_symmetry_space_group_name_H-M 'P m c 21'
_symmetry_Int_Tables_number 26
_symmetry_space_group_name_Hall 'P 2c -2'
_cell_length_a 3.2824
_cell_length_b 7.9123
_cell_length_c 5.3382
_cell_angle_alpha 90.00
_cell_angle_beta 90.00
_cell_angle_gamma 90.00
loop_
_atom_site_label
_atom_site_type_symbol
_atom_site_fract_x
_atom_site_fract_y
_atom_site_fract_z
Lu1 Lu 0.0000 0.2017 0.0000
As1 As 0.0000 0.4295 0.4987
Ir1 Ir 0.5000 0.2110 0.4822
O1 O 0.5000 0.0498 0.9346
```

---

Entry ii
A geometry-optimized LuAsIrO structure, computed with PBE.

Computed properties:
calculated volume: 16.9 A^3/atom

Structure (CIF):
```
data_LuAsIrO
_symmetry_space_group_name_H-M 'C 1 m 1'
_symmetry_Int_Tables_number 8
_symmetry_space_group_name_Hall 'C -2y'
_cell_length_a 8.3143
_cell_length_b 8.2317
_cell_length_c 4.2075
_cell_angle_alpha 90.00
_cell_angle_beta 109.82
_cell_angle_gamma 90.00
loop_
_atom_site_label
_atom_site_type_symbol
_atom_site_fract_x
_atom_site_fract_y
_atom_site_fract_z
Lu1 Lu 0.0000 0.2421 0.0000
As1 As 0.1560 0.5000 0.6151
As2 As 0.3414 0.0000 0.3829
Ir1 Ir 0.2095 0.0000 0.8104
Ir2 Ir 0.2876 0.5000 0.1853
O1 O 0.4971 0.3379 0.4982
```

---

Stability check: which of them is most stable? entry i.

---

Entry i
A geometry-optimized LuAsIrO structure, computed with PBE.

Computed properties:
calculated volume: 15.8 A^3/atom

Structure (CIF):
```
data_LuAsIrO
_symmetry_space_group_name_H-M 'P 4/n m m'
_symmetry_Int_Tables_number 129
_cell_length_a 3.9928
_cell_length_b 3.9928
_cell_length_c 7.9349
_cell_angle_alpha 90.00
_cell_angle_beta 90.00
_cell_angle_gamma 90.00
loop_
_symmetry_equiv_pos_as_xyz
'x,y,z'
'-x,-y,-z'
'-y+1/2,x,z'
'y+1/2,-x,-z'
'-x+1/2,-y+1/2,z'
'x+1/2,y+1/2,-z'
'y,-x+1/2,z'
'-y,x+1/2,-z'
'x+1/2,-y,-z'
'-x+1/2,y,z'
'-y,-x,-z'
'y,x,z'
'-x,y+1/2,-z'
'x,-y+1/2,z'
'y+1/2,x+1/2,-z'
'-y+1/2,-x+1/2,z'
loop_
_atom_site_label
_atom_site_type_symbol
_atom_site_fract_x
_atom_site_fract_y
_atom_site_fract_z
Lu1 Lu 0.2500 0.2500 0.1250
As1 As 0.2500 0.2500 0.6828
Ir1 Ir 0.2500 0.7500 0.5000
O1 O 0.2500 0.7500 0.0000
```

---

Entry ii
A geometry-optimized LuAsIrO structure, computed with PBE.

Computed properties:
calculated volume: 16.2 A^3/atom

Structure (CIF):
```
data_LuAsIrO
_symmetry_space_group_name_H-M 'P m c 21'
_symmetry_Int_Tables_number 26
_symmetry_space_group_name_Hall 'P 2c -2'
_cell_length_a 4.6385
_cell_length_b 4.5184
_cell_length_c 6.1669
_cell_angle_alpha 90.00
_cell_angle_beta 90.00
_cell_angle_gamma 90.00
loop_
_atom_site_label
_atom_site_type_symbol
_atom_site_fract_x
_atom_site_fract_y
_atom_site_fract_z
Lu1 Lu 0.0000 0.2313 0.0000
As1 As 0.5000 0.1406 0.6876
Ir1 Ir 0.5000 0.3615 0.3304
O1 O 0.0000 0.3429 0.3384
```

---

Stability check: which of them is most stable? entry i.